No. 1
SbTe2SN: optimized geometry, PBEsol.

Its uncorrected formation energy is 1095 meV per atom. For the raw total energy, the calculation gives -3.809 eV per atom. The calculation puts the density of states at the Fermi level at 4.3 states/eV/f.u. Its total magnetization is 0.00 μB per cell.

The space group is P4/mmm (No. 123) and the conventional cell measures 5.7016, 5.7016 and 3.8409 Å, with angles of 90.00, 90.00 and 90.00 degrees. The inequivalent atoms are Sb at (0.0000, 0.0000, 0.0000), Te at (0.0000, 0.5000, 0.0000), S at (0.5000, 0.5000, 0.5000) and N at (0.0000, 0.0000, 0.5000).

---

No. 2
Mn2HgCl: optimized geometry, PBEsol.

Its uncorrected formation energy is 507 meV per atom. For the raw total energy, the calculation gives -5.017 eV per atom. The calculation puts the density of states at the Fermi level at 2.9 states/eV/f.u. Its total magnetization is 15.54 μB per cell.

The space group is I4/mmm (No. 139) and the conventional cell measures 4.4736, 4.4736 and 6.8743 Å, with angles of 90.00, 90.00 and 90.00 degrees. The inequivalent atoms are Mn at (0.0000, 0.5000, 0.2500), Hg at (0.0000, 0.0000, 0.0000) and Cl at (0.0000, 0.0000, 0.5000).

---

No. 3
ReOsPt2: optimized geometry, PBEsol.

For the raw total energy, the calculation gives -9.917 eV per atom. The calculation puts the density of states at the Fermi level at 3.7 states/eV/f.u. The energy relative to the elements is -0.048 eV/atom. Its total magnetization is 0.00 μB per cell.

The space group is R3m (No. 160, hexagonal axes) and the conventional cell measures 2.7350, 2.7350 and 27.1270 Å, with angles of 90.00, 90.00 and 120.00 degrees. The inequivalent atoms are Re at (0.0000, 0.0000, 0.0000), Os at (0.0000, 0.0000, 0.2556), Pt at (0.0000, 0.0000, 0.5041) and Pt at (0.0000, 0.0000, 0.7502).

---

No. 4
CuRuPt2: optimized geometry, PBEsol.

For the raw total energy, the calculation gives -7.119 eV per atom. The calculation puts the density of states at the Fermi level at 4.2 states/eV/f.u. The energy relative to the elements is -0.011 eV/atom. Its total magnetization is 0.00 μB per cell.

The space group is R-3m (No. 166, hexagonal axes) and the conventional cell measures 2.7064, 2.7064 and 26.0595 Å, with angles of 90.00, 90.00 and 120.00 degrees. The inequivalent atoms are Cu at (0.0000, 0.0000, 0.0000), Ru at (0.0000, 0.0000, 0.5000) and Pt at (0.0000, 0.0000, 0.2514).

---

No. 5
Fe2AgAu: optimized geometry, PBEsol.

For the raw total energy, the calculation gives -5.954 eV per atom. The calculation puts the density of states at the Fermi level at 3.8 states/eV/f.u. The energy relative to the elements is 0.336 eV/atom. Its total magnetization is 22.21 μB per cell.

The space group is F-43m (No. 216) and the conventional cell measures 6.1070, 6.1070 and 6.1070 Å, with angles of 90.00, 90.00 and 90.00 degrees. The inequivalent atoms are Fe at (0.0000, 0.0000, 0.0000), Fe at (0.2500, 0.2500, 0.2500), Ag at (0.0000, 0.0000, 0.5000) and Au at (0.2500, 0.2500, 0.7500).

---

No. 6
ErZr: optimized geometry, PBEsol.

For the raw total energy, the calculation gives -6.925 eV per atom. The calculation puts the density of states at the Fermi level at 3.3 states/eV/f.u. The energy relative to the elements is 0.083 eV/atom. Its total magnetization is 0.00 μB per cell.

The space group is P-6m2 (No. 187) and the conventional cell measures 3.3284, 3.3284 and 5.2485 Å, with angles of 90.00, 90.00 and 120.00 degrees. The inequivalent atoms are Er at (0.0000, 0.0000, 0.0000) and Zr at (0.3333, 0.6667, 0.5000).

---

No. 7
MnCd2As: optimized geometry, PBEsol.

For the raw total energy, the calculation gives -4.092 eV per atom. The calculation puts the density of states at the Fermi level at 1.8 states/eV/f.u. The energy relative to the elements is 0.224 eV/atom. Its total magnetization is 3.67 μB per cell.

The space group is P4/mmm (No. 123) and the conventional cell measures 4.0075, 4.0075 and 4.5233 Å, with angles of 90.00, 90.00 and 90.00 degrees. The inequivalent atoms are Mn at (0.0000, 0.0000, 0.0000), Cd at (0.0000, 0.5000, 0.5000) and As at (0.5000, 0.5000, 0.0000).

---

No. 8
MnSi: optimized geometry, PBEsol.

Its uncorrected formation energy is 41 meV per atom. For the raw total energy, the calculation gives -7.712 eV per atom. The calculation puts the density of states at the Fermi level at 1.6 states/eV/f.u. Its total magnetization is 0.00 μB per cell.

The space group is P-3m1 (No. 164) and the conventional cell measures 2.6031, 2.6031 and 7.8344 Å, with angles of 90.00, 90.00 and 120.00 degrees. The inequivalent atoms are Mn at (0.3333, 0.6667, 0.1153) and Si at (0.3333, 0.6667, 0.6425).

---

No. 9
AgHgAsO4: optimized geometry, PBEsol.

Its uncorrected formation energy is -714 meV per atom. For the raw total energy, the calculation gives -4.997 eV per atom. The calculation puts the density of states at the Fermi level at 1.6 states/eV/f.u. Its total magnetization is 0.00 μB per cell.

The space group is Fdd2 (No. 43) and the conventional cell measures 6.0858, 12.1481 and 10.8905 Å, with angles of 90.00, 90.00 and 90.00 degrees. The inequivalent atoms are Ag at (0.0000, 0.0000, 0.0000), Hg at (0.0000, 0.0000, 0.3864), As at (0.0000, 0.0000, 0.6959), O at (0.0843, 0.1724, 0.0389) and O at (0.1071, 0.3325, 0.8427).

---

No. 10
CaYO2: optimized geometry, PBEsol.

Its uncorrected formation energy is -2446 meV per atom. For the raw total energy, the calculation gives -7.309 eV per atom. The calculation puts the density of states at the Fermi level at 1.9 states/eV/f.u. Its total magnetization is 0.09 μB per cell.

The space group is R-3m (No. 166, hexagonal axes) and the conventional cell measures 3.5981, 3.5981 and 19.6031 Å, with angles of 90.00, 90.00 and 120.00 degrees. The inequivalent atoms are Ca at (0.0000, 0.0000, 0.0000), Y at (0.0000, 0.0000, 0.5000) and O at (0.0000, 0.0000, 0.3946).

---

No. 11
Ta2InW: optimized geometry, PBEsol.

For the raw total energy, the calculation gives -10.124 eV per atom. The calculation puts the density of states at the Fermi level at 4.6 states/eV/f.u. The energy relative to the elements is 0.349 eV/atom. Its total magnetization is 0.01 μB per cell.

The space group is F-43m (No. 216) and the conventional cell measures 6.5535, 6.5535 and 6.5535 Å, with angles of 90.00, 90.00 and 90.00 degrees. The inequivalent atoms are Ta at (0.0000, 0.0000, 0.0000), Ta at (0.2500, 0.2500, 0.2500), In at (0.2500, 0.2500, 0.7500) and W at (0.0000, 0.0000, 0.5000).

---

No. 12
Na2PPtPb: optimized geometry, PBEsol.

For the raw total energy, the calculation gives -3.029 eV per atom. The calculation puts the density of states at the Fermi level at 3.1 states/eV/f.u. The energy relative to the elements is 0.882 eV/atom. Its total magnetization is 1.01 μB per cell.

The space group is P4/mmm (No. 123) and the conventional cell measures 5.6501, 5.6501 and 4.9411 Å, with angles of 90.00, 90.00 and 90.00 degrees. The inequivalent atoms are Na at (0.0000, 0.5000, 0.0000), P at (0.0000, 0.0000, 0.5000), Pt at (0.5000, 0.5000, 0.5000) and Pb at (0.5000, 0.5000, 0.0000).

---

No. 13
TaRhAu2: optimized geometry, PBEsol.

For the raw total energy, the calculation gives -7.168 eV per atom. The calculation puts the density of states at the Fermi level at 2.3 states/eV/f.u. The energy relative to the elements is -0.034 eV/atom. Its total magnetization is 0.00 μB per cell.

The space group is Cmmm (No. 65) and the conventional cell measures 5.3273, 8.3549 and 2.8876 Å, with angles of 90.00, 90.00 and 90.00 degrees. The inequivalent atoms are Ta at (0.0000, 0.0000, 0.0000), Rh at (0.0000, 0.5000, 0.0000) and Au at (0.2500, 0.2500, 0.5000).

---

No. 14
MgTiZn2Pt: optimized geometry, PBEsol.

For the raw total energy, the calculation gives -3.467 eV per atom. The calculation puts the density of states at the Fermi level at 4.6 states/eV/f.u. The energy relative to the elements is 0.566 eV/atom. Its total magnetization is 0.62 μB per cell.

The space group is P4/mmm (No. 123) and the conventional cell measures 4.8181, 4.8181 and 4.6247 Å, with angles of 90.00, 90.00 and 90.00 degrees. The inequivalent atoms are Mg at (0.0000, 0.0000, 0.0000), Ti at (0.5000, 0.5000, 0.5000), Zn at (0.0000, 0.5000, 0.5000) and Pt at (0.5000, 0.5000, 0.0000).